Density functional theory data (PBE+U) for a relaxed structure of Co2PbO.

The density of states at the Fermi level comes out at 3.29 states/eV/cell. The calculation puts the density at 7.70 g/cm³. For the offset from the most stable computed form, the calculation gives 0 meV per atom. Its calculated total energy is -37.9 eV per cell. Its space group is I4_1/amd.

Lattice parameters (Å, degrees): 5.2158 5.2158 6.5480 66.53 66.53 90.00
Last column: nearest neighbours and their distance in Å.
Positions (direct):
O (0.5000, 0.5000, 0.0000)  4 Co 1.88
Co (0.3750, 0.6252, 0.7500)  2 O 1.88
Co (0.8750, 0.6248, 0.7500)  2 O 1.88
O (0.2500, 0.7500, 0.5000)  4 Co 1.88
Co (0.3748, 0.1250, 0.2500)  2 O 1.88
Pb (0.7500, 0.2500, 0.5000)  8 Co 3.21-3.22
Pb (0.0000, 0.0000, 0.0000)  8 Co 3.21-3.22
Co (0.3752, 0.6250, 0.2500)  2 O 1.88